Entry 1:
DFT (GGA-PBE) results for an optimized crystal structure of Ge2Bi2As. Values from VASP.

The structure in Quantum ESPRESSO input format:
```
&SYSTEM
  ibrav = 0, nat = 10, ntyp = 3
/
ATOMIC_SPECIES
Ge 72.64 Ge.upf
Bi 208.98 Bi.upf
As 74.92 As.upf
ATOMIC_POSITIONS crystal
Ge 0.137 0.363 0.000
Ge 0.363 0.863 0.000
Ge 0.637 0.137 0.000
Ge 0.863 0.637 0.000
Bi 0.238 0.262 0.500
Bi 0.262 0.762 0.500
Bi 0.738 0.238 0.500
Bi 0.762 0.738 0.500
As 0.000 0.000 0.000
As 0.500 0.500 0.000
CELL_PARAMETERS angstrom
6.793 0.000 0.000
0.000 6.793 0.000
0.000 0.000 5.715
```

## Properties
- Space-group type: P4/mbm

---

Entry 2:
DFT (GGA-PBE) results for an optimized crystal structure of ZrTaAl. Values from VASP.

The structure in Quantum ESPRESSO input format:
```
&SYSTEM
  ibrav = 0, nat = 12, ntyp = 3
/
ATOMIC_SPECIES
Zr 91.22 Zr.upf
Ta 180.95 Ta.upf
Al 26.98 Al.upf
ATOMIC_POSITIONS crystal
Zr 0.000 0.250 0.118
Zr 0.000 0.750 0.882
Zr 0.500 0.250 0.382
Zr 0.500 0.750 0.618
Ta 0.250 0.250 0.750
Ta 0.250 0.750 0.250
Ta 0.750 0.250 0.750
Ta 0.750 0.750 0.250
Al 0.000 0.000 0.500
Al 0.000 0.500 0.500
Al 0.500 0.000 0.000
Al 0.500 0.500 0.000
CELL_PARAMETERS angstrom
5.345 0.000 0.000
0.000 5.471 0.000
0.000 0.000 7.931
```

## Properties
- Space-group type: Imma
- Excess energy over the best structure of this formula in the dataset: 0.000 eV/atom

---

How do the records compare in formation enthalpy at 0 K? In the order shown, they have 0.27, -0.27 eV/atom.